Entry from the Open Quantum Materials Database: a relaxed Gd5Bi3 crystal (GGA-PBE).

Values from the calculation:
The total energy is -5.151 eV per atom. Its symmetry is Pnma (62). Its relative energy among the computed polymorphs is 0.019 eV/atom.

```
Gd5Bi3
1.0
-2.4610 8.6803 -8.1093
-9.3906 -1.4758 1.2701
-0.0673 5.6624 6.0815
Gd Bi
20 12
Cartesian
-7.5841 2.6474 1.3138
-8.2988 6.1507 0.1007
-5.5720 8.8397 0.9128
-7.7707 5.9544 3.7770
-2.3589 -0.2136 0.4150
-4.1483 6.9125 -4.5348
-11.1478 8.4949 -4.5052
-0.7711 4.3720 3.7474
-3.6202 6.7162 -0.8584
-7.5856 9.0547 -4.9870
-8.9906 9.4056 -1.2324
-4.3348 10.2195 -2.0715
-8.8025 5.9661 -3.8379
-9.5600 13.0805 -1.1727
-2.0098 9.3995 0.4310
-6.3469 4.0272 -1.6705
-3.1165 6.9007 3.0802
-4.3334 3.8122 4.2292
-2.9284 3.4613 0.4746
-9.9091 3.4674 -1.1887
-5.4629 5.2885 1.4130
-9.7533 0.4100 0.2306
-0.9100 6.0040 0.7972
-4.7665 10.3380 -5.1256
-6.4560 7.5784 -2.1708
-8.4032 8.5786 2.1494
-3.5157 4.2882 -2.9072
-5.2004 1.1255 -0.3852
-2.1656 12.4569 -0.9884
-7.1524 2.5289 4.3679
-6.7185 11.7414 -0.3726
-11.0089 6.8629 -1.5550
```